The following is a DFT calculation (PBE) of a geometry-optimized Bi2SbAu2 structure.

Summary:
- space-group type = No. 15
- energy above the lowest structure with this stoichiometry (eV per atom) = 0.0309

Lattice parameters (Å, degrees): 6.246 5.970 8.555 101.52 90.00 121.54
Fractional coordinates of all 10 atoms:
Sb  0.176  0.000  0.750
Sb  0.824  0.000  0.250
Au  0.089  0.315  0.998
Au  0.911  0.685  0.002
Au  0.774  0.685  0.502
Au  0.226  0.315  0.498
Bi  0.186  0.697  0.303
Bi  0.511  0.697  0.803
Bi  0.489  0.303  0.197
Bi  0.814  0.303  0.697

The following is a DFT calculation (PBE) of a geometry-optimized BiSb2Au2 structure.

Summary:
- space-group type = No. 166
- energy above the lowest structure with this stoichiometry (eV per atom) = 0.0000

Lattice parameters (Å, degrees): 4.520 4.520 8.432 74.45 74.45 60.00
Fractional coordinates of all 5 atoms:
Sb  0.561  0.561  0.316
Sb  0.439  0.439  0.684
Bi  0.000  0.000  0.000
Au  0.262  0.262  0.215
Au  0.738  0.738  0.785

The following is a DFT calculation (PBE) of a geometry-optimized Bi2SbAu2 structure.

Summary:
- space-group type = No. 127
- energy above the lowest structure with this stoichiometry (eV per atom) = 0.1173

Lattice parameters (Å, degrees): 8.862 8.862 3.369 90.00 90.00 90.00
Fractional coordinates of all 10 atoms:
Sb  0.000  0.000  0.000
Sb  0.500  0.500  0.000
Au  0.389  0.111  0.500
Au  0.611  0.889  0.500
Au  0.111  0.611  0.500
Au  0.889  0.389  0.500
Bi  0.694  0.194  0.000
Bi  0.194  0.306  0.000
Bi  0.306  0.806  0.000
Bi  0.806  0.694  0.000

The following is a DFT calculation (PBE) of a geometry-optimized BiSbAu2 structure.

Summary:
- space-group type = No. 59

Lattice parameters (Å, degrees): 4.573 5.656 7.829 90.00 90.00 90.00
Fractional coordinates of all 8 atoms:
Bi  0.750  0.750  0.418
Bi  0.250  0.250  0.582
Sb  0.750  0.250  0.091
Sb  0.250  0.750  0.909
Au  0.250  0.000  0.234
Au  0.250  0.500  0.234
Au  0.750  0.500  0.766
Au  0.750  0.000  0.766

The following is a DFT calculation (PBE) of a geometry-optimized BiSb2Au2 structure.

Summary:
- space-group type = No. 139
- energy above the lowest structure with this stoichiometry (eV per atom) = 0.1289

Lattice parameters (Å, degrees): 4.013 4.013 8.431 76.23 76.23 90.00
Fractional coordinates of all 5 atoms:
Bi  0.000  0.000  0.000
Sb  0.386  0.386  0.228
Sb  0.614  0.614  0.772
Au  0.250  0.750  0.500
Au  0.750  0.250  0.500

The following is a DFT calculation (PBE) of a geometry-optimized BiSbAu2 structure.

Summary:
- space-group type = No. 123

Lattice parameters (Å, degrees): 4.227 4.701 4.701 90.00 90.00 90.00
Fractional coordinates of all 4 atoms:
Au  0.000  0.500  0.000
Au  0.000  0.000  0.500
Bi  0.500  0.500  0.500
Sb  0.500  0.000  0.000

The following is a DFT calculation (PBE) of a geometry-optimized BiSbAu2 structure.

Summary:
- space-group type = No. 166

Lattice parameters (Å, degrees): 4.160 4.160 7.093 107.06 90.00 120.00
Fractional coordinates of all 4 atoms:
Sb  0.000  0.500  0.500
Bi  0.500  0.500  0.000
Au  0.744  0.989  0.734
Au  0.256  0.011  0.266

The following is a DFT calculation (PBE) of a geometry-optimized BiSb3Au structure.

Summary:
- space-group type = No. 221
- energy above the lowest structure with this stoichiometry (eV per atom) = 0.6690

Lattice parameters (Å, degrees): 5.833 5.833 5.833 90.00 90.00 90.00
Fractional coordinates of all 5 atoms:
Sb  0.500  0.000  0.000
Sb  0.000  0.500  0.000
Sb  0.000  0.000  0.500
Au  0.500  0.500  0.500
Bi  0.000  0.000  0.000

The following is a DFT calculation (PBE) of a geometry-optimized Bi3SbAu4 structure.

Summary:
- space-group type = No. 221
- energy above the lowest structure with this stoichiometry (eV per atom) = 0.0000

Lattice parameters (Å, degrees): 5.895 5.895 5.895 90.00 90.00 90.00
Fractional coordinates of all 8 atoms:
Au  0.500  0.000  0.000
Au  0.500  0.500  0.500
Au  0.000  0.500  0.000
Au  0.000  0.000  0.500
Bi  0.500  0.000  0.500
Bi  0.500  0.500  0.000
Bi  0.000  0.500  0.500
Sb  0.000  0.000  0.000

The following is a DFT calculation (PBE) of a geometry-optimized Bi2SbAu2 structure.

Summary:
- space-group type = No. 139
- energy above the lowest structure with this stoichiometry (eV per atom) = 0.2351

Lattice parameters (Å, degrees): 4.618 4.618 7.204 71.31 71.31 90.00
Fractional coordinates of all 5 atoms:
Bi  0.750  0.250  0.500
Bi  0.250  0.750  0.500
Au  0.603  0.603  0.794
Au  0.397  0.397  0.206
Sb  0.000  0.000  0.000

The following is a DFT calculation (PBE) of a geometry-optimized BiSb2Au2 structure.

Summary:
- space-group type = No. 139
- energy above the lowest structure with this stoichiometry (eV per atom) = 0.1721

Lattice parameters (Å, degrees): 4.520 4.520 7.074 71.37 71.37 90.00
Fractional coordinates of all 5 atoms:
Sb  0.250  0.750  0.500
Sb  0.750  0.250  0.500
Au  0.394  0.394  0.212
Au  0.606  0.606  0.788
Bi  0.000  0.000  0.000

The following is a DFT calculation (PBE) of a geometry-optimized BiSb3Au2 structure.

Summary:
- space-group type = No. 38

Lattice parameters (Å, degrees): 4.227 6.463 6.463 97.28 90.00 90.00
Fractional coordinates of all 6 atoms:
Sb  0.000  0.367  0.243
Sb  0.500  0.174  0.826
Sb  0.000  0.757  0.633
Au  0.500  0.452  0.548
Au  0.000  0.982  0.018
Bi  0.500  0.768  0.232

| no. | total DFT energy (no corrections) (eV/atom) | formation energy from raw total energies (eV/atom) | volume (Å³/atom) |
| --- | --- | --- | --- |
| 1 | -3.6654 | 0.022 | 26.44 |
| 2 | -3.7784 | -0.042 | 28.37 |
| 3 | -3.5790 | 0.109 | 26.46 |
| 4 | -3.6933 | -0.054 | 25.31 |
| 5 | -3.6495 | 0.087 | 25.57 |
| 6 | -3.5442 | 0.095 | 23.35 |
| 7 | -3.6814 | -0.042 | 25.01 |
| 8 | -2.7256 | 1.179 | 39.69 |
| 9 | -3.6321 | -0.023 | 25.61 |
| 10 | -3.4612 | 0.227 | 27.38 |
| 11 | -3.6063 | 0.130 | 25.79 |
| 12 | -3.6520 | 0.148 | 29.19 |